A plane-wave DFT calculation with PBE-GGA was carried out for a relaxed structure of MgBe.

```
MgBe
1.0
4.605 -0.011 -0.007
3.703 2.739 -0.007
3.703 1.216 2.454
Be Mg
1 1
Direct
0.000 0.000 0.000
0.500 0.500 0.500
```

DFT formation energy: 0.533 eV per atom
Distance to the lowest polymorph of the same formula: 320.0 meV/atom